Entry 1
! Mg5Rh3, relaxed, DFT GGA-PBE; values from VASP
&SYSTEM
  ibrav = 0, nat = 8, ntyp = 2
/
ATOMIC_SPECIES
Mg 24.30 Mg.upf
Rh 102.91 Rh.upf
ATOMIC_POSITIONS crystal
Mg 0.5000 0.0000 0.0000
Mg 0.0000 0.0000 0.0000
Mg 0.7173 0.7173 0.5000
Mg 0.0000 0.5000 0.0000
Mg 0.2827 0.2827 0.5000
Rh 0.7707 0.2293 0.5000
Rh 0.2293 0.7707 0.5000
Rh 0.5000 0.5000 0.0000
CELL_PARAMETERS angstrom
5.5035 -0.0853 0.0000
-1.4290 5.3155 0.0000
0.0000 0.0000 4.4462
! Symmetry   Cmmm



Entry 2
! Mg5Rh3, relaxed, DFT GGA-PBE; values from VASP
&SYSTEM
  ibrav = 0, nat = 8, ntyp = 2
/
ATOMIC_SPECIES
Mg 24.30 Mg.upf
Rh 102.91 Rh.upf
ATOMIC_POSITIONS crystal
Mg 0.1362 0.6362 0.2723
Mg 0.6362 0.1362 0.2723
Mg 0.3638 0.8638 0.7277
Mg 0.0000 0.0000 0.0000
Mg 0.8638 0.3638 0.7277
Rh 0.5000 0.5000 0.0000
Rh 0.2478 0.2478 0.4956
Rh 0.7522 0.7522 0.5044
CELL_PARAMETERS angstrom
4.2231 0.6047 -1.4363
-1.0719 4.1293 -1.4363
0.0308 0.0463 7.1755
! Symmetry   Fmmm



Entry 3
! Mg5Rh3, relaxed, DFT GGA-PBE; values from VASP
&SYSTEM
  ibrav = 0, nat = 16, ntyp = 2
/
ATOMIC_SPECIES
Mg 24.30 Mg.upf
Rh 102.91 Rh.upf
ATOMIC_POSITIONS crystal
Mg 0.7440 0.7440 0.2500
Mg 0.2560 0.0000 0.2500
Mg 0.6667 0.3333 0.0000
Mg 0.7440 0.0000 0.7500
Mg 0.0000 0.2560 0.2500
Mg 0.3333 0.6667 0.0000
Mg 0.2560 0.2560 0.7500
Mg 0.3333 0.6667 0.5000
Mg 0.0000 0.7440 0.7500
Mg 0.6667 0.3333 0.5000
Rh 0.3944 0.0000 0.7500
Rh 0.6056 0.0000 0.2500
Rh 0.0000 0.6056 0.2500
Rh 0.6056 0.6056 0.7500
Rh 0.0000 0.3944 0.7500
Rh 0.3944 0.3944 0.2500
CELL_PARAMETERS angstrom
7.7186 0.0000 0.0000
-3.8593 6.6845 0.0000
0.0000 0.0000 5.3363
! Symmetry   P6_3/mcm



Energies relative to the most stable structure are entry 1 5; entry 2 0; entry 3 36, reported in meV/atom.



Entry 1
! Mg3Rh5, relaxed, DFT GGA-PBE; values from VASP
&SYSTEM
  ibrav = 0, nat = 8, ntyp = 2
/
ATOMIC_SPECIES
Rh 102.91 Rh.upf
Mg 24.30 Mg.upf
ATOMIC_POSITIONS crystal
Rh 0.5000 0.0000 0.0000
Rh 0.7515 0.7515 0.5000
Rh 0.2485 0.2485 0.5000
Rh 0.0000 0.5000 0.0000
Rh 0.0000 0.0000 0.0000
Mg 0.7527 0.2473 0.5000
Mg 0.5000 0.5000 0.0000
Mg 0.2473 0.7527 0.5000
CELL_PARAMETERS angstrom
5.3606 0.0110 0.0000
-1.7785 5.0569 0.0000
0.0000 0.0000 4.3939
! Symmetry   Cmmm



Entry 2
! Mg3Rh5, relaxed, DFT GGA-PBE; values from VASP
&SYSTEM
  ibrav = 0, nat = 16, ntyp = 2
/
ATOMIC_SPECIES
Rh 102.91 Rh.upf
Mg 24.30 Mg.upf
ATOMIC_POSITIONS crystal
Rh 0.2178 0.0000 0.2500
Rh 0.6667 0.3333 0.5000
Rh 0.0000 0.2178 0.2500
Rh 0.2178 0.2177 0.7500
Rh 0.0000 0.7822 0.7500
Rh 0.3333 0.6667 0.5000
Rh 0.6667 0.3333 0.0000
Rh 0.7823 0.7823 0.2500
Rh 0.3333 0.6667 0.0000
Rh 0.7823 0.0000 0.7500
Mg 0.6020 0.0000 0.2500
Mg 0.0000 0.3980 0.7500
Mg 0.0000 0.6020 0.2500
Mg 0.3980 0.0000 0.7500
Mg 0.3980 0.3980 0.2500
Mg 0.6020 0.6020 0.7500
CELL_PARAMETERS angstrom
7.4741 0.0000 0.0000
-3.7371 6.4728 0.0000
0.0000 0.0000 5.0600
! Symmetry   P6_3/mcm



Entry 3
! Mg3Rh5, relaxed, DFT GGA-PBE; values from VASP
&SYSTEM
  ibrav = 0, nat = 16, ntyp = 2
/
ATOMIC_SPECIES
Rh 102.91 Rh.upf
Mg 24.30 Mg.upf
ATOMIC_POSITIONS crystal
Rh 0.0660 0.2363 0.3036
Rh 0.7359 0.5665 0.3036
Rh 0.4328 0.7374 0.1704
Rh 0.2633 0.4336 0.6964
Rh 0.2491 0.7495 0.4993
Rh 0.2371 0.9333 0.1705
Rh 0.7622 0.0668 0.8296
Rh 0.7500 0.2505 0.5007
Rh 0.5663 0.2625 0.8295
Rh 0.9331 0.7638 0.6964
Mg 0.3219 0.1777 0.5000
Mg 0.1773 0.6778 0.8552
Mg 0.6772 0.8224 0.5000
Mg 0.8218 0.3223 0.1448
Mg 0.2495 0.2501 0.0000
Mg 0.7497 0.7499 0.0000
CELL_PARAMETERS angstrom
7.3665 -0.0061 0.0020
-5.6261 4.7552 0.0020
-0.8683 -2.3693 6.9180
! Symmetry   C2/m



Energies relative to the most stable structure are entry 1 0; entry 2 202; entry 3 128, reported in meV/atom.



Entry 1
! MgRuRh, relaxed, DFT GGA-PBE; values from VASP
&SYSTEM
  ibrav = 0, nat = 3, ntyp = 3
/
ATOMIC_SPECIES
Rh 102.91 Rh.upf
Mg 24.30 Mg.upf
Ru 101.07 Ru.upf
ATOMIC_POSITIONS crystal
Rh 0.6667 0.3333 0.3412
Mg 0.0000 0.0000 0.0022
Ru 0.3333 0.6667 0.6566
CELL_PARAMETERS angstrom
-0.0986 0.2034 2.7843
-0.6482 -2.4137 -1.2480
6.3985 -1.9075 0.3660
! Symmetry   P3m1



Entry 2
! MgRuRh, relaxed, DFT GGA-PBE; values from VASP
&SYSTEM
  ibrav = 0, nat = 3, ntyp = 3
/
ATOMIC_SPECIES
Mg 24.30 Mg.upf
Ru 101.07 Ru.upf
Rh 102.91 Rh.upf
ATOMIC_POSITIONS crystal
Mg 0.5000 0.5000 0.5000
Ru 0.0000 0.0000 0.0000
Rh 0.7500 0.7500 0.7500
CELL_PARAMETERS angstrom
4.2023 0.0000 0.0000
2.1012 3.6393 0.0000
2.1012 1.2131 3.4312
! Symmetry   F-43m



Energies relative to the most stable structure are entry 1 0; entry 2 253, reported in meV/atom.



Entry 1
! MgRuRh, relaxed, DFT GGA-PBE; values from VASP
&SYSTEM
  ibrav = 0, nat = 3, ntyp = 3
/
ATOMIC_SPECIES
Ru 101.07 Ru.upf
Mg 24.30 Mg.upf
Rh 102.91 Rh.upf
ATOMIC_POSITIONS crystal
Ru 0.3333 0.6667 0.4997
Mg 0.0000 0.0000 0.0001
Rh 0.6667 0.3333 0.5001
CELL_PARAMETERS angstrom
4.4168 0.0000 0.0000
-2.2084 3.8251 0.0000
0.0000 0.0000 2.7349
! Symmetry   P-6m2



Entry 2
! MgRuRh, relaxed, DFT GGA-PBE; values from VASP
&SYSTEM
  ibrav = 0, nat = 3, ntyp = 3
/
ATOMIC_SPECIES
Rh 102.91 Rh.upf
Mg 24.30 Mg.upf
Ru 101.07 Ru.upf
ATOMIC_POSITIONS crystal
Rh 0.3296 0.3296 0.0000
Mg 0.9991 0.9991 0.0000
Ru 0.6713 0.6713 0.0000
CELL_PARAMETERS angstrom
-4.3149 1.2127 1.5464
-3.8328 -1.8162 -2.1193
4.0276 -0.9844 2.3001
! Symmetry   Imm2



Entry 3
! MgRuRh, relaxed, DFT GGA-PBE; values from VASP
&SYSTEM
  ibrav = 0, nat = 3, ntyp = 3
/
ATOMIC_SPECIES
Rh 102.91 Rh.upf
Ru 101.07 Ru.upf
Mg 24.30 Mg.upf
ATOMIC_POSITIONS crystal
Rh 0.6763 0.6763 0.0000
Ru 0.3226 0.3226 0.0000
Mg 0.0012 0.0012 0.0000
CELL_PARAMETERS angstrom
6.1965 0.0028 0.0000
4.9426 3.7373 0.0000
-5.5696 -1.8701 1.9697
! Symmetry   I4mm



Energies relative to the most stable structure are entry 1 117; entry 2 69; entry 3 0, reported in meV/atom.



Entry 1
! MgRuRh, relaxed, DFT GGA-PBE; values from VASP
&SYSTEM
  ibrav = 0, nat = 3, ntyp = 3
/
ATOMIC_SPECIES
Rh 102.91 Rh.upf
Ru 101.07 Ru.upf
Mg 24.30 Mg.upf
ATOMIC_POSITIONS crystal
Rh 0.3331 0.3331 0.6669
Ru 0.6685 0.6685 0.3315
Mg 0.9984 0.9984 0.0016
CELL_PARAMETERS angstrom
7.1376 -0.0183 0.0134
6.3782 2.6206 -0.1273
0.7594 -0.9305 2.4734
! Symmetry   Fmm2



Entry 2
! MgRuRh, relaxed, DFT GGA-PBE; values from VASP
&SYSTEM
  ibrav = 0, nat = 6, ntyp = 3
/
ATOMIC_SPECIES
Rh 102.91 Rh.upf
Mg 24.30 Mg.upf
Ru 101.07 Ru.upf
ATOMIC_POSITIONS crystal
Rh 0.6116 0.2232 0.3380
Rh 0.6116 0.2232 0.6620
Mg 0.2774 0.5548 0.1699
Mg 0.2774 0.5548 0.8301
Ru 0.2784 0.5567 0.5000
Ru 0.6102 0.2204 0.0000
CELL_PARAMETERS angstrom
-0.4356 -2.6002 0.9484
0.5855 0.4242 -2.7068
12.8506 -1.2079 2.5906
! Symmetry   Amm2



Energies relative to the most stable structure are entry 1 168; entry 2 0, reported in meV/atom.



Entry 1
! MgRu2Rh2, relaxed, DFT GGA-PBE; values from VASP
&SYSTEM
  ibrav = 0, nat = 10, ntyp = 3
/
ATOMIC_SPECIES
Mg 24.30 Mg.upf
Ru 101.07 Ru.upf
Rh 102.91 Rh.upf
ATOMIC_POSITIONS crystal
Mg 0.0000 0.0000 0.0000
Mg 0.5000 0.5000 0.0000
Ru 0.6747 0.8253 0.5000
Ru 0.1747 0.6747 0.5000
Ru 0.3253 0.1747 0.5000
Ru 0.8253 0.3253 0.5000
Rh 0.3778 0.8778 0.0000
Rh 0.1222 0.3778 0.0000
Rh 0.8778 0.6222 0.0000
Rh 0.6222 0.1222 0.0000
CELL_PARAMETERS angstrom
-6.7384 2.9867 -1.3296
-2.7379 -6.8201 -1.4441
-0.6615 -0.3011 2.6761
! Symmetry   P4/mbm



Entry 2
! MgRu2Rh2, relaxed, DFT GGA-PBE; values from VASP
&SYSTEM
  ibrav = 0, nat = 10, ntyp = 3
/
ATOMIC_SPECIES
Rh 102.91 Rh.upf
Ru 101.07 Ru.upf
Mg 24.30 Mg.upf
ATOMIC_POSITIONS crystal
Rh 0.3226 0.1774 0.5000
Rh 0.6774 0.8226 0.5000
Rh 0.1774 0.6774 0.5000
Rh 0.8226 0.3226 0.5000
Ru 0.1185 0.3815 0.0000
Ru 0.8815 0.6185 0.0000
Ru 0.3815 0.8815 0.0000
Ru 0.6185 0.1185 0.0000
Mg 0.0000 0.0000 0.0000
Mg 0.5000 0.5000 0.0000
CELL_PARAMETERS angstrom
-5.6561 -4.0616 2.7954
3.3678 -6.2895 -2.3240
1.3302 -0.1836 2.4246
! Symmetry   P4/mbm



Energies relative to the most stable structure are entry 1 31; entry 2 0, reported in meV/atom.